Material: PaCuSn
Method: DFT, GGA-PBE
State: optimized geometry

```
data_PaCuSn
_chemical_formula_sum 'Pa4 Cu4 Sn4'
_cell_length_a 6.512
_cell_length_b 6.512
_cell_length_c 6.512
_cell_angle_alpha 90.00
_cell_angle_beta 90.00
_cell_angle_gamma 90.00
_symmetry_space_group_name_H-M 'F -4 3 m'
_symmetry_Int_Tables_number 216
_symmetry_space_group_name_Hall 'F -4 2 3'
loop_
_atom_site_label
_atom_site_fract_x
_atom_site_fract_y
_atom_site_fract_z
Pa1 0.000 0.000 0.000
Cu1 0.250 0.250 0.750
Sn1 0.000 0.000 0.500
```

Results
The density of states at the Fermi level comes out at 1.250 states/eV/atom. The calculation puts the formation energy at -0.34 eV/f.u.

Material: Pa2Cu2Sn
Method: DFT, GGA-PBE
State: optimized geometry

```
data_Pa2Cu2Sn
_chemical_formula_sum 'Pa4 Cu4 Sn2'
_cell_length_a 4.117
_cell_length_b 5.787
_cell_length_c 8.722
_cell_angle_alpha 90.00
_cell_angle_beta 90.00
_cell_angle_gamma 90.00
_symmetry_space_group_name_H-M 'I m m m'
_symmetry_Int_Tables_number 71
_symmetry_space_group_name_Hall '-I 2 2'
loop_
_atom_site_label
_atom_site_fract_x
_atom_site_fract_y
_atom_site_fract_z
Pa1 0.000 0.000 0.208
Cu1 0.000 0.291 0.500
Sn1 0.000 0.500 0.000
```

Results
The density of states at the Fermi level comes out at 1.701 states/eV/atom. The calculation puts the formation energy at -0.28 eV/f.u.

Material: TbPaCuSn
Method: DFT, GGA-PBE
State: optimized geometry

```
data_TbPaCuSn
_chemical_formula_sum 'Tb4 Pa4 Cu4 Sn4'
_cell_length_a 7.287
_cell_length_b 7.287
_cell_length_c 7.287
_cell_angle_alpha 90.00
_cell_angle_beta 90.00
_cell_angle_gamma 90.00
_symmetry_space_group_name_H-M 'F -4 3 m'
_symmetry_Int_Tables_number 216
_symmetry_space_group_name_Hall 'F -4 2 3'
loop_
_atom_site_label
_atom_site_fract_x
_atom_site_fract_y
_atom_site_fract_z
Tb1 0.000 0.000 0.000
Pa1 0.000 0.000 0.500
Cu1 0.250 0.250 0.250
Sn1 0.250 0.250 0.750
```

Results
The density of states at the Fermi level comes out at 1.976 states/eV/atom. The calculation puts the formation energy at -0.26 eV/f.u.

Material: PaZnCuSn
Method: DFT, GGA-PBE
State: optimized geometry

```
data_PaZnCuSn
_chemical_formula_sum 'Pa4 Zn4 Cu4 Sn4'
_cell_length_a 6.786
_cell_length_b 6.786
_cell_length_c 6.786
_cell_angle_alpha 90.00
_cell_angle_beta 90.00
_cell_angle_gamma 90.00
_symmetry_space_group_name_H-M 'F -4 3 m'
_symmetry_Int_Tables_number 216
_symmetry_space_group_name_Hall 'F -4 2 3'
loop_
_atom_site_label
_atom_site_fract_x
_atom_site_fract_y
_atom_site_fract_z
Pa1 0.000 0.000 0.000
Zn1 0.250 0.250 0.250
Cu1 0.250 0.250 0.750
Sn1 0.000 0.000 0.500
```

Results
The density of states at the Fermi level comes out at 0.646 states/eV/atom. The calculation puts the formation energy at -0.29 eV/f.u.

Material: Sr2PaCuTe5
Method: DFT, GGA-PBE
State: optimized geometry

```
data_Sr2PaCuTe5
_chemical_formula_sum 'Sr8 Pa4 Cu4 Te20'
_cell_length_a 4.440
_cell_length_b 19.590
_cell_length_c 13.620
_cell_angle_alpha 90.00
_cell_angle_beta 90.00
_cell_angle_gamma 90.00
_symmetry_space_group_name_H-M 'C m c 21'
_symmetry_Int_Tables_number 36
loop_
_symmetry_equiv_pos_as_xyz
'x,y,z'
'-x,-y,z+1/2'
'-x,y,z'
'x,-y,z+1/2'
'x+1/2,y+1/2,z'
'-x+1/2,-y+1/2,z+1/2'
'-x+1/2,y+1/2,z'
'x+1/2,-y+1/2,z+1/2'
loop_
_atom_site_label
_atom_site_fract_x
_atom_site_fract_y
_atom_site_fract_z
Sr1 0.000 0.109 0.000
Sr2 0.000 0.113 0.637
Pa1 0.000 0.197 0.330
Cu1 0.000 0.424 0.753
Te1 0.000 0.049 0.353
Te2 0.000 0.295 0.983
Te3 0.000 0.301 0.675
Te4 0.000 0.352 0.321
Te5 0.000 0.497 0.591
```

Results
The calculation puts the total energy at -4.706 eV/atom. The density of states at the Fermi level comes out at 0.170 states/eV/atom.

Material: Pa2TaCu
Method: DFT, GGA-PBE
State: optimized geometry

```
data_Pa2TaCu
_chemical_formula_sum 'Pa6 Ta3 Cu3'
_cell_length_a 3.0079
_cell_length_b 3.0079
_cell_length_c 33.1429
_cell_angle_alpha 90.00
_cell_angle_beta 90.00
_cell_angle_gamma 120.00
_symmetry_space_group_name_H-M 'R -3 m'
_symmetry_Int_Tables_number 166
_symmetry_space_group_name_Hall '-R 3 2"'
loop_
_atom_site_label
_atom_site_fract_x
_atom_site_fract_y
_atom_site_fract_z
Pa1 0.0000 0.0000 0.0860
Ta1 0.0000 0.0000 0.5000
Cu1 0.0000 0.0000 0.0000
```

Results
As for the excess energy over the best structure of this formula in the dataset: 0.1681 eV per atom. The density of states at the Fermi level comes out at 1.589 states/eV/atom. The calculation puts the formation energy at 1.80 eV/f.u.

Material: PaTa2Cu
Method: DFT, GGA-PBE
State: optimized geometry

```
data_PaTa2Cu
_chemical_formula_sum 'Pa3 Ta6 Cu3'
_cell_length_a 2.9506
_cell_length_b 2.9506
_cell_length_c 30.3453
_cell_angle_alpha 90.00
_cell_angle_beta 90.00
_cell_angle_gamma 120.00
_symmetry_space_group_name_H-M 'R -3 m'
_symmetry_Int_Tables_number 166
_symmetry_space_group_name_Hall '-R 3 2"'
loop_
_atom_site_label
_atom_site_fract_x
_atom_site_fract_y
_atom_site_fract_z
Pa1 0.0000 0.0000 0.0000
Ta1 0.0000 0.0000 0.0950
Cu1 0.0000 0.0000 0.5000
```

Results
The density of states at the Fermi level comes out at 1.537 states/eV/atom. The calculation puts the formation energy at 2.28 eV/f.u.

Material: Pa2TaCu
Method: DFT, GGA-PBE
State: optimized geometry

```
data_Pa2TaCu
_chemical_formula_sum 'Pa2 Ta1 Cu1'
_cell_length_a 3.589
_cell_length_b 3.589
_cell_length_c 6.587
_cell_angle_alpha 90.00
_cell_angle_beta 90.00
_cell_angle_gamma 90.00
_symmetry_space_group_name_H-M 'P 4/m m m'
_symmetry_Int_Tables_number 123
_symmetry_space_group_name_Hall '-P 4 2'
loop_
_atom_site_label
_atom_site_fract_x
_atom_site_fract_y
_atom_site_fract_z
Pa1 0.000 0.000 0.232
Ta1 0.500 0.500 0.500
Cu1 0.500 0.500 0.000
```

Results
As for the excess energy over the best structure of this formula in the dataset: 0.0000 eV per atom. The density of states at the Fermi level comes out at 1.895 states/eV/atom. The calculation puts the formation energy at 1.13 eV/f.u.